(1)
The following is a DFT calculation (GGA-PBE) of K2Au2Br7 after structural relaxation.

The structure in POSCAR format:
```
K2Au2Br7
1.0
7.3716 0.0000 0.0000
0.0000 15.2792 0.0000
-1.2314 0.0000 7.2112
K Au Br
4 4 14
direct
0.2158 0.1401 0.2652
0.2158 0.3599 0.7652
0.7842 0.6401 0.2348
0.7842 0.8599 0.7348
0.3585 0.6590 0.8220
0.3585 0.8410 0.3220
0.6415 0.1590 0.6780
0.6415 0.3410 0.1780
0.1077 0.5548 0.5955
0.1077 0.9452 0.0955
0.1553 0.6945 0.0483
0.1553 0.8055 0.5483
0.3902 0.1628 0.8648
0.3902 0.3372 0.3648
0.5000 0.0000 0.5000
0.5000 0.5000 0.0000
0.6098 0.6628 0.6352
0.6098 0.8372 0.1352
0.8447 0.1945 0.4517
0.8447 0.3055 0.9517
0.8923 0.0548 0.9045
0.8923 0.4452 0.4045
```

Results
For the formation energy (no corrections), the calculation gives -637 meV/atom. The symmetry is P2_1/c.

---

(2)
The following is a DFT calculation (GGA-PBE) of CeScAlSn after structural relaxation.

The structure in POSCAR format:
```
CeScAlSn
1.0
0.0000 3.6388 3.6388
3.6388 0.0000 3.6388
3.6388 3.6388 0.0000
Ce Sc Al Sn
1 1 1 1
direct
0.0000 0.0000 0.0000
0.5000 0.5000 0.5000
0.7500 0.7500 0.7500
0.2500 0.2500 0.2500
```

Results
The symmetry is F-43m.

---

(3)
The following is a DFT calculation (GGA-PBE) of ScMnMoAu2 after structural relaxation.

The structure in POSCAR format:
```
ScMnMoAu2
1.0
4.8516 0.0000 0.0000
0.0000 4.8516 0.0000
0.0000 0.0000 4.3310
Sc Mn Mo Au
1 1 1 2
direct
0.0000 0.0000 0.0000
0.5000 0.5000 0.5000
0.5000 0.5000 0.0000
0.0000 0.5000 0.5000
0.5000 0.0000 0.5000
```

Results
The symmetry is P4/mmm.

---

(4)
The following is a DFT calculation (GGA-PBE) of Y3TiGa after structural relaxation.

The structure in POSCAR format:
```
Y3TiGa
1.0
5.2990 0.0000 0.0000
0.0000 5.2990 0.0000
0.0000 0.0000 5.2990
Y Ti Ga
3 1 1
direct
0.0000 0.0000 0.5000
0.0000 0.5000 0.0000
0.5000 0.0000 0.0000
0.0000 0.0000 0.0000
0.5000 0.5000 0.5000
```

Results
The symmetry is Pm-3m.

---

Electronic total energy across the listed records, respectively: -2.497, -5.396, -6.046, -5.520 eV per atom.